The following is a DFT calculation (GGA-PBE) of SmTlGa after structural relaxation.

As for the space group: No. 216. Its energy above the most stable polymorph in this dataset is 239 meV per atom.

abc: 5.0345 5.0345 5.0345
angles: 60.00 60.00 60.00
Fractional positions:
Sm  0.0000  0.0000  0.0000
Tl  0.2500  0.2500  0.2500
Ga  0.7500  0.7500  0.7500